*one*
VASP calculation (PBE-GGA) on a geometry-optimized Ag12TeSe6 structure.

* density of states at the Fermi level: 0.50 states/eV per atom

```
19
Lattice="7.710 -0.112 -1.277 -1.488 7.566 -1.277 -0.094 -0.112 7.815" Properties=species:S:1:pos:R:3 pbc="T T T"
Ag 2.312 0.171 6.350
Ag 7.144 0.791 3.938
Ag 3.817 7.170 -1.089
Ag 2.627 4.484 0.101
Ag 6.239 2.305 -1.204
Ag 0.698 3.386 3.882
Ag 3.501 2.858 5.159
Ag 1.806 6.050 2.679
Ag -0.111 5.037 6.464
Ag 5.431 3.955 1.379
Ag -1.016 6.551 1.322
Ag 4.323 1.292 2.582
Se 2.271 5.277 5.243
Se 0.220 4.165 1.324
Se 1.924 0.961 3.811
Se 4.205 6.381 1.450
Se 3.858 2.065 0.017
Se 5.908 3.177 3.936
Te 0.000 0.000 0.000
```

***

*two*
VASP calculation (PBE-GGA) on a geometry-optimized Ag12TeSe6 structure.

* density of states at the Fermi level: 0.60 states/eV per atom

```
19
Lattice="-4.639 6.201 -2.401 -4.711 -6.021 2.700 4.934 2.453 5.947" Properties=species:S:1:pos:R:3 pbc="T T T"
Ag -1.692 2.267 5.408
Ag -2.180 6.041 1.151
Ag -3.925 3.141 3.461
Ag 1.493 -0.132 6.350
Ag -3.941 0.291 4.651
Ag -5.909 2.765 -0.104
Ag -0.475 2.342 1.596
Ag -2.724 0.366 0.838
Ag 1.520 4.592 4.378
Ag -2.236 -3.408 5.095
Ag -0.491 -0.508 2.785
Ag -5.936 -1.959 1.868
Se -3.323 3.482 0.783
Se -1.093 -0.850 5.464
Se -5.277 0.788 1.815
Se -3.354 -1.859 3.012
Se 0.861 1.845 4.432
Se -1.062 4.492 3.234
Te 0.000 0.000 0.000
```

***

It comes down to *one*, which is 43 meV per atom more stable than the next structure.

***

*one*
VASP calculation (PBE-GGA) on a geometry-optimized Ag3TeSe structure.

* density of states at the Fermi level: 0.89 states/eV per atom

```
5
Lattice="5.073 0.000 0.000 0.000 5.073 0.000 0.000 0.000 5.073" Properties=species:S:1:pos:R:3 pbc="T T T"
Se 0.000 0.000 0.000
Ag 0.000 2.537 0.000
Ag 2.537 0.000 0.000
Ag 0.000 0.000 2.537
Te 2.537 2.537 2.537
```

***

*two*
VASP calculation (PBE-GGA) on a geometry-optimized Ag3TeSe structure.

* density of states at the Fermi level: 0.43 states/eV per atom

```
10
Lattice="7.251 0.000 0.000 3.625 6.279 0.000 3.625 2.093 5.317" Properties=species:S:1:pos:R:3 pbc="T T T"
Ag 9.865 4.809 3.944
Ag 9.865 3.564 1.373
Ag 6.483 6.761 1.373
Ag 6.483 1.611 3.944
Ag 5.405 6.139 3.944
Ag 5.405 2.233 1.373
Se 7.251 4.186 0.717
Se 7.251 4.186 4.600
Te 10.876 6.279 1.611
Te 3.625 2.093 3.707
```

***

It comes down to *two*, which is 274 meV per atom more stable than the next structure.

***

*one*
VASP calculation (PBE-GGA) on a geometry-optimized Ag3TeSe structure.

* density of states at the Fermi level: 1.13 states/eV per atom

```
5
Lattice="-1.682 -0.267 5.018 -1.364 -5.069 -0.726 4.837 -1.522 1.540" Properties=species:S:1:pos:R:3 pbc="T T T"
Ag -0.841 -0.133 2.509
Ag -0.682 -2.534 -0.363
Ag 2.418 -0.761 0.770
Te 0.000 0.000 0.000
Se 0.896 -3.429 2.916
```

***

*two*
VASP calculation (PBE-GGA) on a geometry-optimized Ag3TeSe structure.

* density of states at the Fermi level: 0.01 states/eV per atom

```
10
Lattice="-6.549 -1.472 -0.855 0.046 -4.421 -5.116 -0.690 -5.991 3.089" Properties=species:S:1:pos:R:3 pbc="T T T"
Ag -1.985 -7.978 -1.682
Ag -4.926 -5.709 -3.671
Ag -5.303 -6.490 0.453
Ag -5.208 -3.906 -1.201
Ag -2.267 -6.174 0.788
Ag -1.890 -5.394 -3.336
Te -2.580 -4.263 -1.033
Te -4.613 -7.620 -1.850
Se -6.106 -10.089 -2.447
Se -1.087 -1.795 -0.436
```

***

It comes down to *two*, which is 428 meV per atom more stable than the next structure.

***

*one*
VASP calculation (PBE-GGA) on a geometry-optimized AgTeSe3 structure.

* density of states at the Fermi level: 0.73 states/eV per atom

```
5
Lattice="-3.752 3.751 -0.722 -3.318 -2.699 3.221 1.893 2.705 4.216" Properties=species:S:1:pos:R:3 pbc="T T T"
Se -1.876 1.876 -0.361
Se 0.947 1.352 2.108
Se -1.659 -1.349 1.611
Te 0.000 0.000 0.000
Ag -2.588 1.879 3.358
```

***

*two*
VASP calculation (PBE-GGA) on a geometry-optimized AgTeSe3 structure.

* density of states at the Fermi level: 0.44 states/eV per atom

```
10
Lattice="-2.522 3.363 -2.180 -3.916 0.599 5.452 7.176 5.262 5.036" Properties=species:S:1:pos:R:3 pbc="T T T"
Te -1.778 4.045 0.595
Te 2.517 5.180 7.713
Ag 1.677 5.239 3.623
Ag -0.938 3.986 4.686
Se -3.757 3.651 2.285
Se -3.239 5.169 4.032
Se 0.209 3.293 2.296
Se 4.496 5.574 6.024
Se 0.530 5.932 6.013
Se 3.978 4.055 4.276
```

***

*three*
VASP calculation (PBE-GGA) on a geometry-optimized AgTeSe3 structure.

* density of states at the Fermi level: 0.10 states/eV per atom

```
10
Lattice="3.931 -0.817 0.520 -4.045 10.097 -1.176 1.951 -5.105 8.387" Properties=species:S:1:pos:R:3 pbc="T T T"
Ag 1.942 0.894 2.373
Ag -0.106 3.281 5.357
Se 2.536 -2.310 8.211
Se 3.438 0.010 4.992
Se -0.699 6.484 -0.481
Se 3.724 -1.030 1.683
Se -1.601 4.165 2.738
Se -1.887 5.205 6.047
Te 1.030 -0.791 6.219
Te 0.806 4.966 1.511
```

***

It comes down to *three*, which is 16 meV per atom more stable than the next structure.